[1]
The following is a GGA-PBE calculation of an optimized crystal structure of EuTm2Ga, from Alexandria via LeMat-Bulk.

```
4
Lattice="4.795 0.000 0.000 0.000 4.795 0.000 0.000 0.000 4.645" Properties=species:S:1:pos:R:3 pbc="T T T"
Eu 0.000 0.000 0.000
Tm 0.000 2.397 2.323
Tm 2.397 0.000 2.323
Ga 2.397 2.397 0.000
```

- calculated volume (Å³/cell) = 106.8
- crystal system = tetragonal
- energy above the lowest structure with this stoichiometry (kcal/mol of atoms) = 1.89
- electronic total energy (eV/cell) = -22.891
- formation energy from the elements (eV per formula unit) = -0.6

[2]
The following is a GGA-PBE calculation of an optimized crystal structure of EuTmGa2, from Alexandria via LeMat-Bulk.

```
12
Lattice="3.648 0.000 0.000 -1.824 3.159 0.000 0.000 0.000 27.218" Properties=species:S:1:pos:R:3 pbc="T T T"
Eu 0.000 0.000 0.000
Eu 0.000 2.106 18.145
Eu 1.824 1.053 9.073
Tm 0.000 0.000 13.609
Tm 0.000 2.106 4.536
Tm 1.824 1.053 22.682
Ga 0.000 0.000 6.694
Ga 0.000 0.000 20.524
Ga 0.000 2.106 11.451
Ga 0.000 2.106 24.839
Ga 1.824 1.053 2.379
Ga 1.824 1.053 15.767
```

- calculated volume (Å³/cell) = 313.7
- crystal system = trigonal
- energy above the lowest structure with this stoichiometry (kcal/mol of atoms) = 5.03
- electronic total energy (eV/cell) = -66.135
- formation energy from the elements (eV per formula unit) = -1.2

[3]
The following is a GGA-PBE calculation of an optimized crystal structure of EuTmGa4, from Alexandria via LeMat-Bulk.

```
6
Lattice="0.000 3.933 3.933 3.933 0.000 3.933 3.933 3.933 0.000" Properties=species:S:1:pos:R:3 pbc="T T T"
Eu 0.000 0.000 0.000
Tm 1.966 1.966 1.966
Ga 4.915 2.951 2.951
Ga 2.951 4.915 2.951
Ga 2.951 2.951 4.915
Ga 4.915 4.915 4.915
```

- calculated volume (Å³/cell) = 121.6
- crystal system = cubic
- electronic total energy (eV/cell) = -29.775
- formation energy from the elements (eV per formula unit) = -2.9

[4]
The following is a GGA-PBE calculation of an optimized crystal structure of EuTm2Ga, from Alexandria via LeMat-Bulk.

```
16
Lattice="7.515 0.000 0.000 0.000 7.515 0.000 0.000 0.000 7.515" Properties=species:S:1:pos:R:3 pbc="T T T"
Eu 0.000 0.000 0.000
Eu 0.000 3.758 3.758
Eu 3.758 0.000 3.758
Eu 3.758 3.758 0.000
Tm 1.879 1.879 1.879
Tm 1.879 1.879 5.636
Tm 1.879 5.636 1.879
Tm 1.879 5.636 5.636
Tm 5.636 1.879 1.879
Tm 5.636 1.879 5.636
Tm 5.636 5.636 1.879
Tm 5.636 5.636 5.636
Ga 0.000 0.000 3.758
Ga 0.000 3.758 0.000
Ga 3.758 0.000 0.000
Ga 3.758 3.758 3.758
```

- calculated volume (Å³/cell) = 424.4
- crystal system = cubic
- energy above the lowest structure with this stoichiometry (kcal/mol of atoms) = 4.90
- electronic total energy (eV/cell) = -89.469
- formation energy from the elements (eV per formula unit) = -0.1